A relaxed DyEr2TmAs4 crystal. Source: the Alexandria database, functional PBE.

DFT formation energy   -1520 meV per atom
Mass density   8.3 Mg/m³
D(E_F)   1.07 states/eV/cell
SG   P2/m, No. 10

Lattice parameters (Å, degrees): 7.077 4.088 7.077 90.00 109.46 90.00
Fractional positions:
Dy 0.000 0.000 0.000
Er 0.000 0.500 0.500
Er 0.500 0.000 0.500
Tm 0.500 0.500 0.000
As 0.252 0.000 0.750
As 0.252 0.500 0.251
As 0.748 0.000 0.250
As 0.748 0.500 0.749